Density functional theory data (PBE with a Hubbard U) for a relaxed SrVTcO6 crystal.

Cell lengths 5.049, 5.289, 5.390 Å; angles 88.89, 87.50, 61.59 degrees
Fractional coordinates of all 9 atoms:
Sr  0.000  0.000  0.000
V  0.347  0.305  0.502
Tc  0.664  0.672  0.499
O  0.000  0.607  0.300
O  0.011  0.365  0.698
O  0.390  0.980  0.298
O  0.394  0.607  0.702
O  0.624  0.365  0.303
O  0.630  0.981  0.703

Calculated values
Crystal system: triclinic
Space-group type: P1
E_tot, eV per atom: -7.450

***

Density functional theory data (PBE with a Hubbard U) for a relaxed SrTc2WO8 crystal.

Cell lengths 4.858, 4.858, 6.447 Å; angles 90.00, 90.00, 92.32 degrees
Fractional coordinates of all 12 atoms:
Sr  0.000  0.000  0.000
Tc  0.500  0.500  0.256
Tc  0.500  0.500  0.744
W  0.000  0.000  0.500
O  0.211  0.211  0.296
O  0.211  0.211  0.704
O  0.291  0.709  0.500
O  0.342  0.658  0.000
O  0.658  0.342  0.000
O  0.709  0.291  0.500
O  0.789  0.789  0.296
O  0.789  0.789  0.704

Calculated values
Crystal system: orthorhombic
Space-group type: Cmmm
E_tot, eV per atom: -7.509

***

Density functional theory data (PBE with a Hubbard U) for a relaxed SrTcWO6 crystal.

Cell lengths 4.981, 4.981, 9.714 Å; angles 90.00, 90.00, 90.00 degrees
Fractional coordinates of all 18 atoms:
Sr  0.000  0.000  0.000
Sr  0.500  0.500  0.500
Tc  0.000  0.000  0.329
Tc  0.500  0.500  0.829
W  0.000  0.000  0.666
W  0.500  0.500  0.166
O  0.166  0.166  0.499
O  0.214  0.214  0.795
O  0.225  0.225  0.191
O  0.275  0.725  0.691
O  0.286  0.714  0.295
O  0.334  0.666  0.999
O  0.666  0.334  0.999
O  0.714  0.286  0.295
O  0.725  0.275  0.691
O  0.775  0.775  0.191
O  0.786  0.786  0.795
O  0.834  0.834  0.499

Calculated values
Crystal system: tetragonal
Space-group type: P4_2nm
E_tot, eV per atom: -7.382

***

Question: Which formula does entry 1 have?
Answer: SrVTcO6

***

Question: Which formula does entry 1 have?
Answer: SrVTcO6

***

Question: The highest E_tot belongs to which entry?
Answer: SrTcWO6